(1)
# TlAgHgTe

A relaxed structure of TlAgHgTe (PBE-GGA, Alexandria via LeMat-Bulk).

Cell and atoms, written as POSCAR:
```
TlAgHgTe
1.0
0.0000 3.8023 3.8023
3.8023 0.0000 3.8023
3.8023 3.8023 0.0000
Tl Ag Hg Te
1 1 1 1
direct
0.0000 0.0000 0.0000
0.5000 0.5000 0.5000
0.7500 0.7500 0.7500
0.2500 0.2500 0.2500
```

## Properties
The offset from the most stable computed form is 110 meV per atom. As for the volume: 110 Å³/cell. Its symmetry is F-43m (216). The calculation puts the density of states at the Fermi level at 0.01 states/eV/atom. As for the energy: -2.1669 eV/atom. Its size of the total moment is 0.00 μB/atom. Its crystal system is cubic.


(2)
# TlAgHgTe2

A relaxed structure of TlAgHgTe2 (PBE-GGA, Alexandria via LeMat-Bulk).

Cell and atoms, written as POSCAR:
```
TlAgHgTe2
1.0
8.4690 -2.3283 0.0000
8.4690 2.3283 0.0000
-1.5380 0.0000 8.6784
Tl Ag Hg Te
2 2 2 4
direct
0.2439 0.2439 0.2039
0.7561 0.7561 0.7961
0.1403 0.1403 0.5661
0.8597 0.8597 0.4339
0.4925 0.4925 0.2338
0.5075 0.5075 0.7662
0.1003 0.1003 0.8592
0.3508 0.3508 0.6080
0.6492 0.6492 0.3920
0.8997 0.8997 0.1408
```

## Properties
As for the volume: 342 Å³/cell. Its symmetry is C2/m (12). The calculation puts the density of states at the Fermi level at 0.01 states/eV/atom. As for the energy: -2.5271 eV/atom. Its size of the total moment is 0.00 μB/atom. Its crystal system is monoclinic.


(3)
# Tl2AgHgTe2

A relaxed structure of Tl2AgHgTe2 (PBE-GGA, Alexandria via LeMat-Bulk).

Cell and atoms, written as POSCAR:
```
Tl2AgHgTe2
1.0
-3.5962 7.5624 3.5211
3.5962 -7.5624 3.5211
3.5962 7.5624 -3.5211
Tl Ag Hg Te
4 2 2 4
direct
0.1623 0.2459 0.4083
0.3377 0.7459 0.0836
0.6623 0.2541 0.9164
0.8377 0.7541 0.5917
0.2500 0.7500 0.5000
0.7500 0.2500 0.5000
0.2500 0.2500 0.0000
0.7500 0.7500 0.0000
0.1143 0.7176 0.8319
0.3857 0.2176 0.6034
0.6143 0.7824 0.3966
0.8857 0.2824 0.1681
```

## Properties
As for the volume: 383 Å³/cell. Its symmetry is Ibam (72). The calculation puts the density of states at the Fermi level at 0.44 states/eV/atom. As for the energy: -2.4863 eV/atom. Its size of the total moment is 0.00 μB/atom. Its crystal system is orthorhombic.


(4)
# TlAgHgTe

A relaxed structure of TlAgHgTe (PBE-GGA, Alexandria via LeMat-Bulk).

Cell and atoms, written as POSCAR:
```
TlAgHgTe
1.0
2.3631 1.3643 13.4141
-2.3631 1.3643 13.4141
0.0000 -2.7287 13.4141
Tl Ag Hg Te
2 2 2 2
direct
0.0924 0.0924 0.0924
0.9076 0.9076 0.9076
0.3114 0.3114 0.3114
0.6886 0.6886 0.6886
0.1889 0.1889 0.1889
0.8111 0.8111 0.8111
0.3825 0.3825 0.3825
0.6175 0.6175 0.6175
```

## Properties
The offset from the most stable computed form is 0 meV per atom. As for the volume: 259 Å³/cell. Its symmetry is R-3m (166). The calculation puts the density of states at the Fermi level at 0.18 states/eV/atom. As for the energy: -2.2766 eV/atom. Its size of the total moment is 0.00 μB/atom. Its crystal system is trigonal.


(5)
# UAgHgTe3

A relaxed structure of UAgHgTe3 (PBE-GGA, Alexandria via LeMat-Bulk).

Cell and atoms, written as POSCAR:
```
UAgHgTe3
1.0
2.1606 -8.3011 0.0000
2.1606 8.3011 0.0000
0.0000 0.0000 11.2186
U Ag Hg Te
2 2 2 6
direct
0.0000 0.0000 0.0000
0.0000 0.0000 0.5000
0.4604 0.5396 0.7500
0.5396 0.4604 0.2500
0.2559 0.7441 0.2500
0.7441 0.2559 0.7500
0.0696 0.9304 0.7500
0.3756 0.6244 0.5375
0.3756 0.6244 0.9625
0.6244 0.3756 0.0375
0.6244 0.3756 0.4625
0.9304 0.0696 0.2500
```

## Properties
As for the volume: 402 Å³/cell. Its symmetry is Cmcm (63). The calculation puts the density of states at the Fermi level at 0.89 states/eV/atom. As for the energy: -4.3242 eV/atom. Its size of the total moment is 0.16 μB/atom. Its crystal system is orthorhombic.


(6)
# Zr2AgHg2Te6

A relaxed structure of Zr2AgHg2Te6 (PBE-GGA, Alexandria via LeMat-Bulk).

Cell and atoms, written as POSCAR:
```
Zr2AgHg2Te6
1.0
3.5894 -6.5656 0.0000
3.5894 6.5656 0.0000
-2.3687 0.0000 7.8275
Zr Ag Hg Te
2 1 2 6
direct
0.1399 0.8601 0.0000
0.8601 0.1399 0.0000
0.5000 0.5000 0.0000
0.1917 0.8083 0.5000
0.8083 0.1917 0.5000
0.1223 0.4723 0.8126
0.2163 0.2163 0.2461
0.4723 0.1223 0.8126
0.5277 0.8777 0.1874
0.7837 0.7837 0.7539
0.8777 0.5277 0.1874
```

## Properties
As for the volume: 369 Å³/cell. Its symmetry is C2/m (12). The calculation puts the density of states at the Fermi level at 0.21 states/eV/atom. As for the energy: -3.9961 eV/atom. Its size of the total moment is 0.00 μB/atom. Its crystal system is monoclinic.